# GaFeSe2N

A relaxed GaFeSe2N crystal (PBE, Alexandria).

abc: 5.166 5.166 3.602
angles: 90.00 90.00 90.00
Last column: magnetic moment on the atom in μB.
Sites, in units of the cell vectors:
Se  0.500  0.000  0.000  0.23
Se  0.000  0.500  0.000  0.23
Ga  0.000  0.000  0.000  0.01
N  0.000  0.000  0.500  0.80
Fe  0.500  0.500  0.500  3.42

Computed properties:
energy relative to the elements, uncorrected	440	kJ/mol of formula units
Fermi-level density of states	1.157	states/eV per atom

=====

# Tm5SnBi2

A relaxed Tm5SnBi2 crystal (PBE, Alexandria).

abc: 5.888 6.503 14.134
angles: 90.00 90.00 116.92
Sites, in units of the cell vectors:
Sn  0.272  0.544  0.250
Sn  0.728  0.456  0.750
Tm  0.379  0.758  0.052
Tm  0.379  0.758  0.448
Tm  0.422  0.843  0.750
Tm  0.075  0.151  0.399
Tm  0.621  0.242  0.948
Tm  0.925  0.849  0.601
Tm  0.621  0.242  0.552
Tm  0.075  0.151  0.101
Tm  0.925  0.849  0.899
Tm  0.578  0.157  0.250
Bi  0.199  0.398  0.614
Bi  0.801  0.602  0.386
Bi  0.199  0.398  0.886
Bi  0.801  0.602  0.114

Computed properties:
E_form	-289	meV per atom
Fermi-level density of states	0.989	states/eV per atom

=====

# MnNi2HgH

A relaxed MnNi2HgH crystal (PBE, Alexandria).

abc: 3.883 3.883 3.850
angles: 90.00 90.00 90.00
Last column: magnetic moment on the atom in μB.
Sites, in units of the cell vectors:
Ni  0.000  0.500  0.000  0.39
Ni  0.500  0.000  0.000  0.39
Mn  0.000  0.000  0.500  3.56
Hg  0.500  0.500  0.500  -0.02
H  0.000  0.000  0.000  -0.02

Computed properties:
total DFT energy (no corrections)	-23.98	eV for the cell shown
Fermi-level density of states	0.526	states/eV per atom

=====

# PmTlInPb

A relaxed PmTlInPb crystal (PBE, Alexandria).

abc: 5.510 5.510 5.510
angles: 60.00 60.00 60.00
Sites, in units of the cell vectors:
In  0.000  0.000  0.000
Pm  0.250  0.250  0.250
Pb  0.750  0.750  0.750
Tl  0.500  0.500  0.500

Computed properties:
E_form	-174	meV per atom
Fermi-level density of states	0.453	states/eV per atom

=====

# TlP2Br

A relaxed TlP2Br crystal (PBE, Alexandria).

abc: 4.987 4.987 6.119
angles: 90.00 90.00 90.00
Sites, in units of the cell vectors:
P  0.000  0.000  0.092
P  0.000  0.000  0.408
Tl  0.500  0.500  0.250
Br  0.500  0.500  0.750

Computed properties:
energy relative to the elements, uncorrected	50	kJ/mol of formula units

=====

# Sn3Se2Cl2

A relaxed Sn3Se2Cl2 crystal (PBE, Alexandria).

abc: 4.289 7.890 7.385
angles: 102.91 106.88 90.00
Sites, in units of the cell vectors:
Se  0.371  0.100  0.742
Se  0.629  0.900  0.258
Sn  0.242  0.772  0.484
Sn  0.000  0.000  0.000
Sn  0.758  0.228  0.516
Cl  0.866  0.672  0.731
Cl  0.134  0.328  0.269

Computed properties:
energy relative to the elements, uncorrected	-442	kJ/mol of formula units

=====

# MnRePb2

A relaxed MnRePb2 crystal (PBE, Alexandria).

abc: 3.183 3.183 9.236
angles: 90.00 90.00 115.82
Last column: magnetic moment on the atom in μB.
Sites, in units of the cell vectors:
Pb  0.000  0.000  0.006  -0.02
Pb  0.000  0.000  0.494  -0.02
Re  0.500  0.500  0.250  0.14
Mn  0.500  0.500  0.750  3.68

Computed properties:
E_form	987	meV per atom
Fermi-level density of states	0.893	states/eV per atom

=====

# Mg2TcOs

A relaxed Mg2TcOs crystal (PBE, Alexandria).

abc: 5.147 5.147 5.147
angles: 136.71 136.71 62.89
Sites, in units of the cell vectors:
Os  0.250  0.750  0.500
Mg  0.500  0.500  0.000
Mg  0.000  0.000  0.000
Tc  0.750  0.250  0.500

Computed properties:
E_form	314	meV per atom
Fermi-level density of states	0.976	states/eV per atom